No. 1
{"formula": "AcPrMg", "functional": "PBE", "state": "relaxed", "lattice": [[-3.594, 1.397, -1.054], [0.574, -1.334, -3.725], [-1.234, -5.839, 4.047]], "species": ["Pr", "Ac", "Mg"], "fractional_positions": [[0.315, 0.315, 0.630], [0.010, 0.010, 0.020], [0.675, 0.675, 0.350]], "ef_ev_per_atom": -0.05, "dos_ef_per_ev_cell": 3.83, "sg": "I4mm, No. 107", "volume_a3_per_atom": 35.34, "e_above_lowest_polymorph_ev_per_atom": 0.000, "total_energy_ev_per_atom": -3.54}

---

No. 2
{"formula": "AcPr2Mg5", "functional": "PBE", "state": "relaxed", "lattice": [[5.443, 0.000, 0.000], [0.000, 5.443, 0.000], [-2.721, -2.721, 7.984]], "species": ["Ac", "Pr", "Pr", "Mg", "Mg", "Mg", "Mg", "Mg"], "fractional_positions": [[0.000, 0.000, 0.000], [0.738, 0.738, 0.476], [0.262, 0.262, 0.524], [0.500, 0.500, 0.000], [0.876, 0.376, 0.753], [0.376, 0.876, 0.753], [0.124, 0.624, 0.247], [0.624, 0.124, 0.247]], "ef_ev_per_atom": -0.07, "dos_ef_per_ev_cell": 7.04, "sg": "I4/mmm, No. 139", "volume_a3_per_atom": 29.56, "total_energy_ev_per_atom": -2.78}

---

No. 3
{"formula": "AcPrMg", "functional": "PBE", "state": "relaxed", "lattice": [[5.011, -0.942, 0.350], [0.997, 5.001, 0.350], [0.696, 0.470, 8.347]], "species": ["Ac", "Ac", "Pr", "Pr", "Mg", "Mg"], "fractional_positions": [[0.684, 0.684, 0.315], [0.316, 0.316, 0.685], [0.819, 0.819, 0.731], [0.181, 0.181, 0.269], [0.747, 0.253, 0.000], [0.253, 0.747, 0.000]], "ef_ev_per_atom": 0.12, "dos_ef_per_ev_cell": 8.92, "sg": "C2/m, No. 12", "volume_a3_per_atom": 35.82, "e_above_lowest_polymorph_ev_per_atom": 0.162, "total_energy_ev_per_atom": -3.38}

---

No. 4
{"formula": "Ac2Pr6Mg", "functional": "PBE", "state": "relaxed", "lattice": [[6.596, -1.394, 0.390], [-2.485, 11.014, 6.996], [-3.153, 3.213, 11.167]], "species": ["Ac", "Ac", "Ac", "Ac", "Pr", "Pr", "Pr", "Pr", "Pr", "Pr", "Pr", "Pr", "Pr", "Pr", "Pr", "Pr", "Mg", "Mg"], "fractional_positions": [[0.135, 0.722, 0.809], [0.402, 0.168, 0.428], [0.865, 0.278, 0.191], [0.598, 0.832, 0.572], [0.764, 0.493, 0.725], [0.767, 0.416, 0.465], [0.236, 0.507, 0.275], [0.233, 0.584, 0.535], [0.043, 0.937, 0.337], [0.669, 0.614, 0.032], [0.957, 0.063, 0.663], [0.331, 0.386, 0.968], [0.028, 0.817, 0.119], [0.491, 0.059, 0.105], [0.972, 0.183, 0.881], [0.509, 0.941, 0.895], [0.374, 0.273, 0.691], [0.626, 0.727, 0.309]], "ef_ev_per_atom": 0.01, "dos_ef_per_ev_cell": 25.81, "sg": "P-1, No. 2", "volume_a3_per_atom": 36.97, "total_energy_ev_per_atom": -4.27}

---

No. 5
{"formula": "Ac2Pr8Mg", "functional": "PBE", "state": "relaxed", "lattice": [[-4.234, -5.248, -2.204], [2.739, -6.118, -8.026], [3.825, -9.524, -2.002]], "species": ["Ac", "Ac", "Pr", "Pr", "Pr", "Pr", "Pr", "Pr", "Pr", "Pr", "Mg"], "fractional_positions": [[0.569, 0.813, 0.813], [0.431, 0.187, 0.187], [0.223, 0.340, 0.818], [0.777, 0.182, 0.660], [0.171, 0.753, 0.753], [0.829, 0.247, 0.247], [0.223, 0.818, 0.340], [0.777, 0.660, 0.182], [0.731, 0.594, 0.594], [0.269, 0.406, 0.406], [0.000, 0.000, 0.000]], "ef_ev_per_atom": 0.11, "dos_ef_per_ev_cell": 16.21, "sg": "C2/m, No. 12", "volume_a3_per_atom": 37.27, "e_above_lowest_polymorph_ev_per_atom": 0.087, "total_energy_ev_per_atom": -4.26}

---

No. 6
{"formula": "Ac6Pr8Mg", "functional": "PBE", "state": "relaxed", "lattice": [[8.003, 0.000, 3.828], [3.086, 7.384, 3.828], [-0.222, -0.148, 10.744]], "species": ["Ac", "Ac", "Ac", "Ac", "Ac", "Ac", "Pr", "Pr", "Pr", "Pr", "Pr", "Pr", "Pr", "Pr", "Mg"], "fractional_positions": [[0.847, 0.677, 0.161], [0.685, 0.153, 0.839], [0.323, 0.685, 0.839], [0.677, 0.315, 0.161], [0.315, 0.847, 0.161], [0.153, 0.323, 0.839], [0.778, 0.591, 0.576], [0.945, 0.222, 0.424], [0.409, 0.945, 0.424], [0.287, 0.287, 0.139], [0.713, 0.713, 0.861], [0.591, 0.055, 0.576], [0.055, 0.778, 0.576], [0.222, 0.409, 0.424], [0.000, 0.000, 0.000]], "ef_ev_per_atom": 0.33, "dos_ef_per_ev_cell": 23.23, "sg": "R-3, No. 148", "volume_a3_per_atom": 42.93, "total_energy_ev_per_atom": -3.97}